This record from Alexandria describes crystalline CaHg2Se at its relaxed geometry. The functional is PBE.

The formation energy without anion corrections comes out at -0.79 eV/atom. As for the space group: Cmmm. The value obtained for the calculated volume is 112 Å³ per cell. As for the total energy: -9.240 eV/f.u.

Cell and atoms, written as POSCAR:
```
CaHg2Se
1.0
-1.808 -0.675 6.088
-3.584 -1.759 -1.260
1.782 -3.787 0.109
Ca Hg Se
1 2 1
Direct
0.500 0.750 0.750
0.000 0.003 0.003
0.000 0.497 0.497
0.500 0.250 0.250
```